No. 1
Below is a relaxed structure of TiVRePd, with properties calculated at the PBE-GGA level.

Cell and atoms, written as POSCAR:
```
TiVRePd
1.0
-4.059 0.796 1.433
-0.956 -0.478 4.245
-0.796 3.522 2.475
V Ti Pd Re
1 1 1 1
direct
0.750 0.750 0.750
0.250 0.250 0.250
0.500 0.500 0.500
0.000 0.000 0.000
```

**DFT formation energy**: -0.276 eV/atom
**Spin magnetization**: 0.0005 μB/atom
**ρ**: 10.96 g cm⁻³

---

No. 2
Below is a relaxed structure of K2BaCd, with properties calculated at the PBE-GGA level.

Cell and atoms, written as POSCAR:
```
K2BaCd
1.0
-3.069 -1.545 -2.765
-0.024 -3.842 2.166
-7.897 3.797 6.646
Cd Ba K
1 1 2
direct
0.500 0.500 0.750
0.500 0.500 0.250
0.000 0.000 0.940
0.000 0.000 0.560
```

**DFT formation energy**: 0.059 eV/atom
**Spin magnetization**: 0.0000 μB/atom
**ρ**: 2.55 g cm⁻³

---

No. 3
Below is a relaxed structure of CaMn2Se, with properties calculated at the PBE-GGA level.

Cell and atoms, written as POSCAR:
```
CaMn2Se
1.0
4.590 0.000 0.000
0.000 4.590 0.000
2.295 2.295 8.498
Mn Se Ca
4 2 2
direct
0.875 0.087 0.750
0.375 0.163 0.750
0.837 0.125 0.250
0.913 0.625 0.250
0.000 0.000 0.000
0.750 0.250 0.500
0.500 0.500 0.000
0.250 0.750 0.500
```

**Formation energy (no corrections)**: 124 meV per atom
**Spin magnetization**: 1.4188 μB/atom
**ρ**: 4.25 g cm⁻³